1.
This record from Alexandria describes LaY2Tm after structural relaxation. The functional is PBE.

Cell: 3.5988 3.5988 11.8769 Å, 81.29 81.29 60.00°
Closest atoms and distances in Å follow each position.
Fractional positions:
Y 0.7523 0.7523 0.7430  3 Tm 3.52, 6 Y 3.60, 3 La 3.65
Y 0.2477 0.2477 0.2570  3 Tm 3.52, 6 Y 3.60, 3 La 3.65
Tm 0.5000 0.5000 0.5000  6 Y 3.52, 6 Tm 3.60
La 0.0000 0.0000 0.0000  6 La 3.60, 6 Y 3.65

Summary:
ρ	6.15	g cm⁻³
total DFT energy (no corrections)	-5.555	eV/atom
distance to the lowest polymorph of the same formula	7	meV per atom

***

2.
This record from Alexandria describes La3Y8Tm after structural relaxation. The functional is PBE.

Cell: 8.4754 8.4754 8.4754 Å, 95.42 116.92 116.92°
Closest atoms and distances in Å follow each position.
Fractional positions:
Y 0.2485 0.3679 0.3679  3 Y 3.12-3.30, 1 Tm 3.19, 1 La 3.31
Y 0.0000 0.6321 0.8805  3 Y 3.12-3.30, 1 Tm 3.19, 1 La 3.31
Y 0.0000 0.7745 0.2570  1 Tm 3.03, 2 Y 3.22-3.30, 1 La 3.25
Y 0.5175 0.7430 0.7430  1 Tm 3.03, 2 Y 3.22-3.30, 1 La 3.25
Y 0.0000 0.8805 0.6321  3 Y 3.12-3.30, 1 Tm 3.19, 1 La 3.31
Y 0.7515 0.1195 0.1195  3 Y 3.12-3.30, 1 Tm 3.19, 1 La 3.31
Y 0.4825 0.2255 0.2255  1 Tm 3.03, 2 Y 3.22-3.30, 1 La 3.25
Y 0.0000 0.2570 0.7745  1 Tm 3.03, 2 Y 3.22-3.30, 1 La 3.25
La 0.5000 0.7500 0.2500  4 Y 3.51
La 0.0000 0.5000 0.5000  8 Y 3.25-3.31
La 0.5000 0.2500 0.7500  4 Y 3.51
Tm 0.0000 0.0000 0.0000  8 Y 3.03-3.19

Summary:
ρ	4.80	g cm⁻³
total DFT energy (no corrections)	-5.309	eV/atom

***

3.
This record from Alexandria describes LaY14Tm after structural relaxation. The functional is PBE.

Cell: 7.1574 7.1574 10.1003 Å, 90.00 90.00 90.00°
Closest atoms and distances in Å follow each position.
Fractional positions:
Y 0.1265 0.3765 0.2506  10 Y 3.56-3.60, 1 Tm 3.57, 1 La 3.59
Y 0.3750 0.1250 0.0000  2 La 3.58, 2 Tm 3.58, 8 Y 3.58
Y 0.1265 0.8735 0.7495  10 Y 3.56-3.60, 1 Tm 3.57, 1 La 3.59
Y 0.6235 0.3765 0.7494  10 Y 3.56-3.60, 1 Tm 3.57, 1 La 3.59
Y 0.1265 0.8735 0.2505  10 Y 3.56-3.60, 1 Tm 3.57, 1 La 3.59
Y 0.8751 0.6250 0.5000  12 Y 3.57-3.58
Y 0.1265 0.3765 0.7494  10 Y 3.56-3.60, 1 Tm 3.57, 1 La 3.59
Y 0.6235 0.8735 0.2506  10 Y 3.56-3.60, 1 Tm 3.57, 1 La 3.59
Y 0.6235 0.3765 0.2506  10 Y 3.56-3.60, 1 Tm 3.57, 1 La 3.59
Y 0.6235 0.8735 0.7494  10 Y 3.56-3.60, 1 Tm 3.57, 1 La 3.59
Y 0.3750 0.6250 0.5000  12 Y 3.56-3.58
Y 0.8750 0.6250 0.0000  2 La 3.58, 2 Tm 3.58, 8 Y 3.58
Y 0.3750 0.1249 0.5000  12 Y 3.57-3.58
Y 0.8751 0.1249 0.5000  12 Y 3.58
Tm 0.3749 0.6251 0.0000  12 Y 3.57-3.58
La 0.8751 0.1249 0.0000  12 Y 3.58-3.59

Summary:
ρ	4.98	g cm⁻³
total DFT energy (no corrections)	-6.220	eV/atom

***

4.
This record from Alexandria describes LaY3Tm8 after structural relaxation. The functional is PBE.

Cell: 8.5990 8.5966 8.5991 Å, 98.17 97.33 136.93°
Closest atoms and distances in Å follow each position.
Fractional positions:
La 0.0000 0.0000 0.0000  8 Tm 3.30-3.44
Tm 0.9904 0.2465 0.7440  6 Tm 3.11-3.36, 1 Y 3.20, 1 La 3.30
Tm 0.0096 0.7536 0.2560  6 Tm 3.11-3.36, 1 Y 3.20, 1 La 3.30
Tm 0.1726 0.7490 0.9214  6 Tm 3.33-3.61, 4 Y 3.42-3.72, 1 La 3.44
Tm 0.8276 0.2512 0.0786  6 Tm 3.33-3.61, 4 Y 3.42-3.72, 1 La 3.44
Tm 0.4976 0.7535 0.7439  6 Tm 3.11-3.36, 1 Y 3.20, 1 La 3.30
Tm 0.5024 0.2464 0.2560  6 Tm 3.11-3.36, 1 Y 3.20, 1 La 3.30
Tm 0.8273 0.7488 0.5764  6 Tm 3.33-3.61, 4 Y 3.42-3.72, 1 La 3.44
Tm 0.1725 0.2510 0.4236  6 Tm 3.33-3.61, 4 Y 3.42-3.72, 1 La 3.44
Y 0.0000 0.5000 0.5000  8 Tm 3.20-3.42
Y 0.5000 0.7572 0.2572  6 Tm 3.71-3.72
Y 0.5000 0.2428 0.7428  6 Tm 3.71-3.72

Summary:
ρ	7.23	g cm⁻³
total DFT energy (no corrections)	-4.700	eV/atom

***

5.
This record from Alexandria describes La12Y6Tm after structural relaxation. The functional is PBE.

Cell: 9.3457 9.3457 9.3457 Å, 106.65 106.65 106.65°
Closest atoms and distances in Å follow each position.
Fractional positions:
La 0.1834 0.7134 0.8857  2 La 3.34-3.54, 3 Y 3.45-3.68, 1 Tm 3.65
La 0.8166 0.2866 0.1143  2 La 3.34-3.54, 3 Y 3.45-3.68, 1 Tm 3.65
La 0.1143 0.8166 0.2866  2 La 3.34-3.54, 3 Y 3.45-3.68, 1 Tm 3.65
La 0.5067 0.8088 0.4102  5 La 3.34-3.54, 3 Y 3.37-3.62
La 0.4102 0.5067 0.8088  5 La 3.34-3.54, 3 Y 3.37-3.62
La 0.8857 0.1834 0.7134  2 La 3.34-3.54, 3 Y 3.45-3.68, 1 Tm 3.65
La 0.5898 0.4933 0.1912  5 La 3.34-3.54, 3 Y 3.37-3.62
La 0.4933 0.1912 0.5898  5 La 3.34-3.54, 3 Y 3.37-3.62
La 0.1912 0.5898 0.4933  5 La 3.34-3.54, 3 Y 3.37-3.62
La 0.7134 0.8857 0.1834  2 La 3.34-3.54, 3 Y 3.45-3.68, 1 Tm 3.65
La 0.2866 0.1143 0.8166  2 La 3.34-3.54, 3 Y 3.45-3.68, 1 Tm 3.65
La 0.8088 0.4102 0.5067  5 La 3.34-3.54, 3 Y 3.37-3.62
Y 0.0933 0.1947 0.4336  6 La 3.37-3.68, 1 Tm 3.65
Y 0.4336 0.0933 0.1947  6 La 3.37-3.68, 1 Tm 3.65
Y 0.1947 0.4336 0.0933  6 La 3.37-3.68, 1 Tm 3.65
Y 0.8053 0.5664 0.9067  6 La 3.37-3.68, 1 Tm 3.65
Y 0.9067 0.8053 0.5664  6 La 3.37-3.68, 1 Tm 3.65
Y 0.5664 0.9067 0.8053  6 La 3.37-3.68, 1 Tm 3.65
Tm 0.0000 0.0000 0.0000  6 La 3.65, 6 Y 3.65

Summary:
ρ	5.73	g cm⁻³
total DFT energy (no corrections)	-5.165	eV/atom

***

6.
This record from Alexandria describes La3Y8Tm3 after structural relaxation. The functional is PBE.

Cell: 5.7235 9.7662 9.7660 Å, 102.60 72.97 72.97°
Closest atoms and distances in Å follow each position.
Fractional positions:
La 0.0000 0.8167 0.1833  2 Tm 3.55, 8 Y 3.67-3.71
La 0.5000 0.0000 0.0000  4 Tm 3.60, 4 Y 3.99, 4 La 4.00
La 0.0000 0.1833 0.8167  2 Tm 3.55, 8 Y 3.67-3.71
Y 0.6613 0.5567 0.1208  6 Y 3.37-3.58, 2 Tm 3.63-3.75, 3 La 3.67-3.69
Y 0.6613 0.1208 0.5567  6 Y 3.37-3.58, 2 Tm 3.63-3.75, 3 La 3.67-3.69
Y 0.1594 0.4418 0.2395  5 Y 3.08-3.44
Y 0.8406 0.7605 0.5582  5 Y 3.08-3.44
Y 0.1594 0.2395 0.4418  5 Y 3.08-3.44
Y 0.3387 0.4433 0.8792  6 Y 3.37-3.58, 2 Tm 3.63-3.75, 3 La 3.67-3.69
Y 0.8406 0.5582 0.7605  5 Y 3.08-3.44
Y 0.3387 0.8792 0.4433  6 Y 3.37-3.58, 2 Tm 3.63-3.75, 3 La 3.67-3.69
Tm 0.5000 0.5000 0.5000  2 Tm 3.21
Tm 0.7976 0.2028 0.2028  1 Tm 3.21, 2 La 3.55, 4 Y 3.57-3.58
Tm 0.2024 0.7972 0.7972  1 Tm 3.21, 2 La 3.55, 4 Y 3.57-3.58

Summary:
ρ	5.77	g cm⁻³
total DFT energy (no corrections)	-5.598	eV/atom